1.
DFT (GGA-PBEsol) results for an optimized crystal structure of Li2CaMn.

## Properties
E_form, eV per atom: 0.43
SG: P4/mmm (123)

a = 3.5405 Å, b = 3.5405 Å, c = 6.9069 Å
α = 90.00°, β = 90.00°, γ = 90.00°
Element x y z (fractional)
Li: 0.0000 0.0000 0.1924
Li: 0.0000 0.0000 0.8076
Ca: 0.5000 0.5000 0.5000
Mn: 0.5000 0.5000 0.0000

2.
DFT (GGA-PBEsol) results for an optimized crystal structure of Li2LaP.

## Properties
E_form, eV per atom: -0.59
SG: Cmmm (65)

a = 4.2184 Å, b = 4.2184 Å, c = 4.7893 Å
α = 90.00°, β = 90.00°, γ = 93.47°
Element x y z (fractional)
P: 0.5000 0.5000 0.5000
La: 0.0000 0.0000 0.5000
Li: 0.3160 0.6840 0.0000
Li: 0.6840 0.3160 0.0000

3.
DFT (GGA-PBEsol) results for an optimized crystal structure of KAlHg2.

## Properties
E_form, eV per atom: 0.08
SG: P4/mmm (123)

a = 3.8432 Å, b = 5.0750 Å, c = 5.0750 Å
α = 90.00°, β = 90.00°, γ = 90.00°
Element x y z (fractional)
K: 0.5000 0.5000 0.5000
Hg: 0.0000 0.0000 0.5000
Hg: 0.0000 0.5000 0.0000
Al: 0.5000 0.0000 0.0000